(P)
The following is a PBE-GGA calculation of crystalline NbFeCuSb at its relaxed geometry, from OQMD via LeMat-Bulk.

Unit cell a=4.4158 b=4.4158 c=4.4158 alpha=60.00 beta=60.00 gamma=60.00
Fractional coordinates of all 4 atoms:
Nb1 0.0000 0.0000 0.0000
Fe1 0.2500 0.2500 0.2500
Cu1 0.7500 0.7500 0.7500
Sb1 0.5000 0.5000 0.5000

Output
The value obtained for the total magnetization is 0.86 Bohr magnetons per cell.



(Q)
The following is a PBE-GGA calculation of crystalline NbFeCuSb at its relaxed geometry, from OQMD via LeMat-Bulk.

Unit cell a=4.4981 b=4.4981 c=4.4981 alpha=60.00 beta=60.00 gamma=60.00
Fractional coordinates of all 4 atoms:
Nb1 0.0000 0.0000 0.0000
Fe1 0.7500 0.7500 0.7500
Cu1 0.5000 0.5000 0.5000
Sb1 0.2500 0.2500 0.2500

Output
The value obtained for the total magnetization is 1.28 Bohr magnetons per cell.



The most stable arrangement is (P), and the next structure is 112 meV/atom less stable.



(P)
The following is a PBE-GGA calculation of crystalline NbFeCuSi at its relaxed geometry, from OQMD via LeMat-Bulk.

Unit cell a=4.2339 b=4.2339 c=4.2339 alpha=60.00 beta=60.00 gamma=60.00
Fractional coordinates of all 4 atoms:
Nb1 0.0000 0.0000 0.0000
Fe1 0.5000 0.5000 0.5000
Cu1 0.7500 0.7500 0.7500
Si1 0.2500 0.2500 0.2500

Output
The value obtained for the total magnetization is 2.07 Bohr magnetons per cell.



(Q)
The following is a PBE-GGA calculation of crystalline NbFeCuSi at its relaxed geometry, from OQMD via LeMat-Bulk.

Unit cell a=4.2171 b=4.2171 c=4.2171 alpha=60.00 beta=60.00 gamma=60.00
Fractional coordinates of all 4 atoms:
Nb1 0.0000 0.0000 0.0000
Fe1 0.7500 0.7500 0.7500
Cu1 0.5000 0.5000 0.5000
Si1 0.2500 0.2500 0.2500

Output
The value obtained for the total magnetization is 0.86 Bohr magnetons per cell.



The most stable arrangement is (Q), and the next structure is 21 meV/atom less stable.



(P)
The following is a PBE-GGA calculation of crystalline ZnFeCuNi at its relaxed geometry, from OQMD via LeMat-Bulk.

Unit cell a=4.0634 b=4.0634 c=4.0634 alpha=60.00 beta=60.00 gamma=60.00
Fractional coordinates of all 4 atoms:
Zn1 0.0000 0.0000 0.0000
Fe1 0.7500 0.7500 0.7500
Cu1 0.2500 0.2500 0.2500
Ni1 0.5000 0.5000 0.5000

Output
The value obtained for the total magnetization is 2.93 Bohr magnetons per cell.



(Q)
The following is a PBE-GGA calculation of crystalline ZnFeCuNi at its relaxed geometry, from OQMD via LeMat-Bulk.

Unit cell a=4.0689 b=4.0689 c=4.0689 alpha=60.00 beta=60.00 gamma=60.00
Fractional coordinates of all 4 atoms:
Zn1 0.0000 0.0000 0.0000
Fe1 0.5000 0.5000 0.5000
Cu1 0.7500 0.7500 0.7500
Ni1 0.2500 0.2500 0.2500

Output
The value obtained for the total magnetization is 2.98 Bohr magnetons per cell.



The most stable arrangement is (Q), and the next structure is 20 meV/atom less stable.



(P)
The following is a PBE-GGA calculation of crystalline FeCuSiOs at its relaxed geometry, from OQMD via LeMat-Bulk.

Unit cell a=4.0981 b=4.0981 c=4.0981 alpha=60.00 beta=60.00 gamma=60.00
Fractional coordinates of all 4 atoms:
Fe1 0.0000 0.0000 0.0000
Cu1 0.2500 0.2500 0.2500
Si1 0.7500 0.7500 0.7500
Os1 0.5000 0.5000 0.5000

Output
The value obtained for the total magnetization is 2.03 Bohr magnetons per cell.



(Q)
The following is a PBE-GGA calculation of crystalline FeCuSiOs at its relaxed geometry, from OQMD via LeMat-Bulk.

Unit cell a=4.1364 b=4.1364 c=4.1364 alpha=60.00 beta=60.00 gamma=60.00
Fractional coordinates of all 4 atoms:
Fe1 0.0000 0.0000 0.0000
Cu1 0.7500 0.7500 0.7500
Si1 0.5000 0.5000 0.5000
Os1 0.2500 0.2500 0.2500

Output
The value obtained for the total magnetization is 2.76 Bohr magnetons per cell.



The most stable arrangement is (Q), and the next structure is 13 meV/atom less stable.



(P)
The following is a PBE-GGA calculation of crystalline ZnFeCuOs at its relaxed geometry, from OQMD via LeMat-Bulk.

Unit cell a=4.1886 b=4.1886 c=4.1886 alpha=60.00 beta=60.00 gamma=60.00
Fractional coordinates of all 4 atoms:
Zn1 0.0000 0.0000 0.0000
Fe1 0.5000 0.5000 0.5000
Cu1 0.2500 0.2500 0.2500
Os1 0.7500 0.7500 0.7500

Output
The value obtained for the total magnetization is 3.24 Bohr magnetons per cell.



(Q)
The following is a PBE-GGA calculation of crystalline ZnFeCuOs at its relaxed geometry, from OQMD via LeMat-Bulk.

Unit cell a=4.1881 b=4.1881 c=4.1881 alpha=60.00 beta=60.00 gamma=60.00
Fractional coordinates of all 4 atoms:
Zn1 0.0000 0.0000 0.0000
Fe1 0.2500 0.2500 0.2500
Cu1 0.5000 0.5000 0.5000
Os1 0.7500 0.7500 0.7500

Output
The value obtained for the total magnetization is 3.53 Bohr magnetons per cell.



The most stable arrangement is (P), and the next structure is 127 meV/atom less stable.



(P)
The following is a PBE-GGA calculation of crystalline TaFeCuPb at its relaxed geometry, from OQMD via LeMat-Bulk.

Unit cell a=4.4548 b=4.4548 c=4.4548 alpha=60.00 beta=60.00 gamma=60.00
Fractional coordinates of all 4 atoms:
Ta1 0.0000 0.0000 0.0000
Fe1 0.2500 0.2500 0.2500
Cu1 0.7500 0.7500 0.7500
Pb1 0.5000 0.5000 0.5000

Output
The value obtained for the total magnetization is 0.00 Bohr magnetons per cell.



(Q)
The following is a PBE-GGA calculation of crystalline TaFeCuPb at its relaxed geometry, from OQMD via LeMat-Bulk.

Unit cell a=4.5682 b=4.5682 c=4.5682 alpha=60.00 beta=60.00 gamma=60.00
Fractional coordinates of all 4 atoms:
Ta1 0.0000 0.0000 0.0000
Fe1 0.2500 0.2500 0.2500
Cu1 0.5000 0.5000 0.5000
Pb1 0.7500 0.7500 0.7500

Output
The value obtained for the total magnetization is 1.70 Bohr magnetons per cell.



The most stable arrangement is (P), and the next structure is 206 meV/atom less stable.



(P)
The following is a PBE-GGA calculation of crystalline ZrFeCuPb at its relaxed geometry, from OQMD via LeMat-Bulk.

Unit cell a=4.6530 b=4.6530 c=4.6530 alpha=60.00 beta=60.00 gamma=60.00
Fractional coordinates of all 4 atoms:
Zr1 0.0000 0.0000 0.0000
Fe1 0.7500 0.7500 0.7500
Cu1 0.5000 0.5000 0.5000
Pb1 0.2500 0.2500 0.2500

Output
The value obtained for the total magnetization is 1.80 Bohr magnetons per cell.



(Q)
The following is a PBE-GGA calculation of crystalline ZrFeCuPb at its relaxed geometry, from OQMD via LeMat-Bulk.

Unit cell a=4.5997 b=4.5997 c=4.5997 alpha=60.00 beta=60.00 gamma=60.00
Fractional coordinates of all 4 atoms:
Zr1 0.0000 0.0000 0.0000
Fe1 0.2500 0.2500 0.2500
Cu1 0.7500 0.7500 0.7500
Pb1 0.5000 0.5000 0.5000

Output
The value obtained for the total magnetization is 1.41 Bohr magnetons per cell.



The most stable arrangement is (Q), and the next structure is 198 meV/atom less stable.



(P)
The following is a PBE-GGA calculation of crystalline SrFeCuRe at its relaxed geometry, from OQMD via LeMat-Bulk.

Unit cell a=4.6127 b=4.6127 c=4.6127 alpha=60.00 beta=60.00 gamma=60.00
Fractional coordinates of all 4 atoms:
Sr1 0.0000 0.0000 0.0000
Fe1 0.2500 0.2500 0.2500
Cu1 0.5000 0.5000 0.5000
Re1 0.7500 0.7500 0.7500

Output
The value obtained for the total magnetization is 4.33 Bohr magnetons per cell.



(Q)
The following is a PBE-GGA calculation of crystalline SrFeCuRe at its relaxed geometry, from OQMD via LeMat-Bulk.

Unit cell a=4.5114 b=4.5114 c=4.5114 alpha=60.00 beta=60.00 gamma=60.00
Fractional coordinates of all 4 atoms:
Sr1 0.0000 0.0000 0.0000
Fe1 0.5000 0.5000 0.5000
Cu1 0.2500 0.2500 0.2500
Re1 0.7500 0.7500 0.7500

Output
The value obtained for the total magnetization is 0.02 Bohr magnetons per cell.



The most stable arrangement is (Q), and the next structure is 239 meV/atom less stable.



(P)
The following is a PBE-GGA calculation of crystalline FeCu2S2 at its relaxed geometry, from OQMD via LeMat-Bulk.

Unit cell a=7.6259 b=7.6259 c=7.6259 alpha=60.00 beta=60.00 gamma=60.00
Fractional coordinates of all 20 atoms:
Fe1 0.1223 0.1223 0.1223
Fe2 0.1223 0.1223 0.6330
Fe3 0.1223 0.6330 0.1223
Fe4 0.6330 0.1223 0.1223
Cu1 0.3805 0.3805 0.3805
Cu2 0.3805 0.3805 0.8584
Cu3 0.3805 0.8584 0.3805
Cu4 0.4158 0.8614 0.8614
Cu5 0.8584 0.3805 0.3805
Cu6 0.8614 0.4158 0.8614
Cu7 0.8614 0.8614 0.4158
Cu8 0.8614 0.8614 0.8614
S1 0.0000 0.0000 0.0000
S2 0.0049 0.0049 0.4951
S3 0.0049 0.4951 0.0049
S4 0.0049 0.4951 0.4951
S5 0.4951 0.0049 0.0049
S6 0.4951 0.0049 0.4951
S7 0.4951 0.4951 0.0049
S8 0.5000 0.5000 0.5000

Output
The value obtained for the total magnetization is 13.63 Bohr magnetons per cell.



(Q)
The following is a PBE-GGA calculation of crystalline FeCu2S2 at its relaxed geometry, from OQMD via LeMat-Bulk.

Unit cell a=7.6102 b=7.6102 c=7.6102 alpha=60.00 beta=60.00 gamma=60.00
Fractional coordinates of all 20 atoms:
Fe1 0.3766 0.3766 0.3766
Fe2 0.3766 0.3766 0.8701
Fe3 0.3766 0.8701 0.3766
Fe4 0.8701 0.3766 0.3766
Cu1 0.1003 0.6332 0.6332
Cu2 0.3597 0.8801 0.8801
Cu3 0.6332 0.1003 0.6332
Cu4 0.6332 0.6332 0.1003
Cu5 0.6332 0.6332 0.6332
Cu6 0.8801 0.3597 0.8801
Cu7 0.8801 0.8801 0.3597
Cu8 0.8801 0.8801 0.8801
S1 0.0000 0.0000 0.0000
S2 0.0094 0.0094 0.4906
S3 0.0094 0.4906 0.0094
S4 0.0094 0.4906 0.4906
S5 0.4906 0.0094 0.0094
S6 0.4906 0.0094 0.4906
S7 0.4906 0.4906 0.0094
S8 0.5000 0.5000 0.5000

Output
The value obtained for the total magnetization is 13.42 Bohr magnetons per cell.



The most stable arrangement is (P), and the next structure is 39 meV/atom less stable.



(P)
The following is a PBE-GGA calculation of crystalline ScFeCuSb at its relaxed geometry, from OQMD via LeMat-Bulk.

Unit cell a=4.5123 b=4.5123 c=4.5123 alpha=60.00 beta=60.00 gamma=60.00
Fractional coordinates of all 4 atoms:
Sc1 0.0000 0.0000 0.0000
Fe1 0.7500 0.7500 0.7500
Cu1 0.5000 0.5000 0.5000
Sb1 0.2500 0.2500 0.2500

Output
The value obtained for the total magnetization is 1.87 Bohr magnetons per cell.



(Q)
The following is a PBE-GGA calculation of crystalline ScFeCuSb at its relaxed geometry, from OQMD via LeMat-Bulk.

Unit cell a=4.4378 b=4.4378 c=4.4378 alpha=60.00 beta=60.00 gamma=60.00
Fractional coordinates of all 4 atoms:
Sc1 0.0000 0.0000 0.0000
Fe1 0.2500 0.2500 0.2500
Cu1 0.7500 0.7500 0.7500
Sb1 0.5000 0.5000 0.5000

Output
The value obtained for the total magnetization is 1.13 Bohr magnetons per cell.



(R)
The following is a PBE-GGA calculation of crystalline ScFeCuSb at its relaxed geometry, from OQMD via LeMat-Bulk.

Unit cell a=4.4727 b=4.4727 c=4.4727 alpha=60.00 beta=60.00 gamma=60.00
Fractional coordinates of all 4 atoms:
Sc1 0.0000 0.0000 0.0000
Fe1 0.5000 0.5000 0.5000
Cu1 0.7500 0.7500 0.7500
Sb1 0.2500 0.2500 0.2500

Output
The value obtained for the total magnetization is 1.84 Bohr magnetons per cell.



The most stable arrangement is (Q), and the next structure is 81 meV/atom less stable.



(P)
The following is a PBE-GGA calculation of crystalline FeCuSbW at its relaxed geometry, from OQMD via LeMat-Bulk.

Unit cell a=4.4441 b=4.4441 c=4.4441 alpha=60.00 beta=60.00 gamma=60.00
Fractional coordinates of all 4 atoms:
Fe1 0.0000 0.0000 0.0000
Cu1 0.7500 0.7500 0.7500
Sb1 0.5000 0.5000 0.5000
W1 0.2500 0.2500 0.2500

Output
The value obtained for the total magnetization is 2.03 Bohr magnetons per cell.



(Q)
The following is a PBE-GGA calculation of crystalline FeCuSbW at its relaxed geometry, from OQMD via LeMat-Bulk.

Unit cell a=4.4109 b=4.4109 c=4.4109 alpha=60.00 beta=60.00 gamma=60.00
Fractional coordinates of all 4 atoms:
Fe1 0.0000 0.0000 0.0000
Cu1 0.2500 0.2500 0.2500
Sb1 0.7500 0.7500 0.7500
W1 0.5000 0.5000 0.5000

Output
The value obtained for the total magnetization is 2.30 Bohr magnetons per cell.



The most stable arrangement is (P), and the next structure is 25 meV/atom less stable.



(P)
The following is a PBE-GGA calculation of crystalline YFeCuSb at its relaxed geometry, from OQMD via LeMat-Bulk.

Unit cell a=4.7934 b=4.7934 c=4.7934 alpha=60.00 beta=60.00 gamma=60.00
Fractional coordinates of all 4 atoms:
Y1 0.0000 0.0000 0.0000
Fe1 0.7500 0.7500 0.7500
Cu1 0.5000 0.5000 0.5000
Sb1 0.2500 0.2500 0.2500

Output
The value obtained for the total magnetization is 2.24 Bohr magnetons per cell.



(Q)
The following is a PBE-GGA calculation of crystalline YFeCuSb at its relaxed geometry, from OQMD via LeMat-Bulk.

Unit cell a=4.6506 b=4.6506 c=4.6506 alpha=60.00 beta=60.00 gamma=60.00
Fractional coordinates of all 4 atoms:
Y1 0.0000 0.0000 0.0000
Fe1 0.7500 0.7500 0.7500
Cu1 0.2500 0.2500 0.2500
Sb1 0.5000 0.5000 0.5000

Output
The value obtained for the total magnetization is 1.59 Bohr magnetons per cell.



The most stable arrangement is (Q), and the next structure is 234 meV/atom less stable.